The following is a DFT calculation (PBE-GGA) of a relaxed TaP2Pb crystal.

Lattice parameters (Å, degrees): 3.2822 6.0803 8.8160 90.00 90.00 90.00
With the nearest neighbours (Å) after each atom.
Space group Immm (No. 71)
Symmetry-distinct sites (fractional):
Ta  0.0000  0.0000  0.0000 [2 per cell]  4 P 2.45
P  0.0000  0.5000  0.2932 [4 per cell]  2 Ta 2.45
Pb  0.0000  0.0000  0.5000 [2 per cell]  4 P 3.06, 2 Pb 3.28

Computed properties:
Total energy, eV/atom: -6.320